PaV2CrO6 PBE+U relaxed; calculated total energy = -8.56 eV per atom; mass density = 6.5 g/cm³
1.0
2.7012 1.5595 4.8426
-2.7012 1.5595 4.8426
0.0000 -3.1191 4.8426
Pa V Cr O
1 2 1 6
direct
0.0000 0.0000 0.0000
0.2012 0.2012 0.2012
0.7034 0.7034 0.7034
0.5045 0.5045 0.5045
0.1195 0.4070 0.7834
0.3125 0.8907 0.5940
0.4070 0.7834 0.1195
0.5940 0.3125 0.8907
0.7834 0.1195 0.4070
0.8907 0.5940 0.3125